{
  "formula": "Na3MgBr",
  "functional": "GGA-PBE",
  "state": "relaxed",
  "total_energy_ev_per_cell": -7.13,
  "density_g_cm3": 1.327,
  "formation_energy_uncorrected_ev_per_atom": 0.02,
  "e_above_lowest_polymorph_ev_per_atom": 0.362,
  "space_group": "Pm-3m (221)",
  "lattice": [[-4.336, -4.146, 0.272], [3.819, -3.822, 2.622], [-1.637, 2.066, 5.397]],
  "species": ["Mg", "Na", "Na", "Na", "Br"],
  "frac_coords": [[0.000, 0.000, 0.000], [0.500, 0.000, 0.000], [0.000, 0.000, 0.500], [0.000, 0.500, 0.000], [0.500, 0.500, 0.500]]
}

{
  "formula": "NaMg2Br2",
  "functional": "GGA-PBE",
  "state": "relaxed",
  "total_energy_ev_per_cell": -21.15,
  "density_g_cm3": 2.097,
  "formation_energy_uncorrected_ev_per_atom": -0.54,
  "e_above_lowest_polymorph_ev_per_atom": 0.052,
  "space_group": "P4/mbm (127)",
  "lattice": [[-8.418, -2.846, -4.196], [4.329, -8.268, -3.077], [-1.019, -1.732, 3.219]],
  "species": ["Mg", "Mg", "Mg", "Mg", "Br", "Br", "Br", "Br", "Na", "Na"],
  "frac_coords": [[0.102, 0.398, 0.000], [0.398, 0.898, 0.000], [0.898, 0.602, 0.000], [0.602, 0.102, 0.000], [0.266, 0.766, 0.500], [0.734, 0.234, 0.500], [0.234, 0.266, 0.500], [0.766, 0.734, 0.500], [0.000, 0.000, 0.000], [0.500, 0.500, 0.000]]
}

{
  "formula": "Na2MgBr5",
  "functional": "GGA-PBE",
  "state": "relaxed",
  "total_energy_ev_per_cell": -44.93,
  "density_g_cm3": 3.044,
  "formation_energy_uncorrected_ev_per_atom": -1.23,
  "space_group": "Cmcm (63)",
  "lattice": [[-0.501, -0.034, 5.739], [-3.455, -6.307, -3.231], [10.413, -6.151, 0.872]],
  "species": ["Na", "Na", "Na", "Na", "Br", "Br", "Br", "Br", "Br", "Br", "Br", "Br", "Br", "Br", "Mg", "Mg"],
  "frac_coords": [[0.823, 0.645, 0.085], [0.177, 0.355, 0.585], [0.177, 0.355, 0.915], [0.823, 0.645, 0.415], [0.679, 0.357, 0.250], [0.321, 0.643, 0.750], [0.019, 0.038, 0.374], [0.300, 0.600, 0.403], [0.981, 0.962, 0.626], [0.300, 0.600, 0.097], [0.019, 0.038, 0.126], [0.700, 0.400, 0.597], [0.700, 0.400, 0.903], [0.981, 0.962, 0.874], [0.822, 0.643, 0.750], [0.178, 0.357, 0.250]]
}

{
  "formula": "Na3Mg5Br12",
  "functional": "GGA-PBE",
  "state": "relaxed",
  "total_energy_ev_per_cell": -236.14,
  "density_g_cm3": 3.071,
  "formation_energy_uncorrected_ev_per_atom": -1.35,
  "space_group": "Ia-3d (230)",
  "lattice": [[14.780, 0.000, 0.000], [-4.927, 13.935, 0.000], [-4.927, -6.967, 12.068]],
  "species": ["Br", "Br", "Br", "Br", "Br", "Br", "Br", "Br", "Br", "Br", "Br", "Br", "Br", "Br", "Br", "Br", "Br", "Br", "Br", "Br", "Br", "Br", "Br", "Br", "Br", "Br", "Br", "Br", "Br", "Br", "Br", "Br", "Br", "Br", "Br", "Br", "Br", "Br", "Br", "Br", "Br", "Br", "Br", "Br", "Br", "Br", "Br", "Br", "Mg", "Mg", "Mg", "Mg", "Mg", "Mg", "Mg", "Mg", "Mg", "Mg", "Mg", "Mg", "Mg", "Mg", "Mg", "Mg", "Mg", "Mg", "Mg", "Mg", "Na", "Na", "Na", "Na", "Na", "Na", "Na", "Na", "Na", "Na", "Na", "Na"],
  "frac_coords": [[0.026, 0.407, 0.821], [0.120, 0.705, 0.526], [0.179, 0.085, 0.705], [0.120, 0.415, 0.093], [0.205, 0.679, 0.085], [0.474, 0.679, 0.093], [0.620, 0.026, 0.205], [0.321, 0.526, 0.407], [0.295, 0.880, 0.974], [0.974, 0.593, 0.179], [0.880, 0.585, 0.907], [0.407, 0.026, 0.321], [0.085, 0.179, 0.205], [0.093, 0.179, 0.474], [0.907, 0.821, 0.526], [0.321, 0.795, 0.415], [0.705, 0.585, 0.179], [0.593, 0.620, 0.415], [0.295, 0.415, 0.821], [0.705, 0.120, 0.026], [0.026, 0.620, 0.705], [0.915, 0.093, 0.620], [0.380, 0.974, 0.795], [0.415, 0.120, 0.593], [0.526, 0.205, 0.120], [0.880, 0.295, 0.474], [0.205, 0.526, 0.620], [0.380, 0.407, 0.085], [0.526, 0.321, 0.907], [0.907, 0.085, 0.880], [0.585, 0.705, 0.679], [0.915, 0.821, 0.795], [0.679, 0.205, 0.585], [0.593, 0.974, 0.679], [0.585, 0.880, 0.407], [0.179, 0.093, 0.974], [0.474, 0.795, 0.880], [0.974, 0.380, 0.295], [0.407, 0.380, 0.585], [0.415, 0.295, 0.321], [0.821, 0.907, 0.026], [0.795, 0.474, 0.380], [0.085, 0.907, 0.380], [0.679, 0.474, 0.593], [0.795, 0.321, 0.915], [0.821, 0.915, 0.295], [0.620, 0.593, 0.915], [0.093, 0.915, 0.120], [0.000, 0.000, 0.500], [0.375, 0.250, 0.125], [0.750, 0.125, 0.875], [0.500, 0.000, 0.500], [0.500, 0.500, 0.500], [0.250, 0.375, 0.625], [0.500, 0.500, 0.000], [0.000, 0.500, 0.000], [0.875, 0.625, 0.750], [0.625, 0.750, 0.875], [0.125, 0.375, 0.250], [0.250, 0.875, 0.125], [0.750, 0.625, 0.375], [0.000, 0.000, 0.000], [0.125, 0.750, 0.375], [0.375, 0.125, 0.750], [0.625, 0.875, 0.250], [0.000, 0.500, 0.500], [0.875, 0.250, 0.625], [0.500, 0.000, 0.000], [0.875, 0.125, 0.250], [0.375, 0.750, 0.625], [0.750, 0.375, 0.125], [0.375, 0.625, 0.250], [0.625, 0.250, 0.375], [0.250, 0.625, 0.875], [0.125, 0.250, 0.875], [0.250, 0.125, 0.375], [0.750, 0.875, 0.625], [0.875, 0.750, 0.125], [0.125, 0.875, 0.750], [0.625, 0.375, 0.750]]
}

{
  "formula": "NaMg2Br2",
  "functional": "GGA-PBE",
  "state": "relaxed",
  "total_energy_ev_per_cell": -10.84,
  "density_g_cm3": 2.623,
  "formation_energy_uncorrected_ev_per_atom": -0.60,
  "e_above_lowest_polymorph_ev_per_atom": 0.000,
  "space_group": "I4/mmm (139)",
  "lattice": [[4.982, 0.000, 0.000], [0.000, 4.982, 0.000], [2.491, 2.491, 5.904]],
  "species": ["Na", "Br", "Br", "Mg", "Mg"],
  "frac_coords": [[0.000, 0.000, 0.000], [0.750, 0.250, 0.500], [0.250, 0.750, 0.500], [0.621, 0.621, 0.759], [0.379, 0.379, 0.241]]
}

{
  "formula": "NaMgBr2",
  "functional": "GGA-PBE",
  "state": "relaxed",
  "total_energy_ev_per_cell": -10.43,
  "density_g_cm3": 2.088,
  "formation_energy_uncorrected_ev_per_atom": -1.04,
  "e_above_lowest_polymorph_ev_per_atom": 0.000,
  "space_group": "R-3m (166)",
  "lattice": [[5.416, -11.218, 3.781], [8.293, -9.909, 1.583], [8.021, -8.801, 5.261]],
  "species": ["Mg", "Br", "Br", "Na"],
  "frac_coords": [[0.500, 0.500, 0.500], [0.873, 0.873, 0.873], [0.127, 0.127, 0.127], [0.000, 0.000, 0.000]]
}

{
  "formula": "Na2MgBr4",
  "functional": "GGA-PBE",
  "state": "relaxed",
  "total_energy_ev_per_cell": -21.29,
  "density_g_cm3": 3.258,
  "formation_energy_uncorrected_ev_per_atom": -1.48,
  "space_group": "C2/m (12)",
  "lattice": [[-0.074, -3.437, 2.268], [7.517, -0.317, -0.236], [-3.724, 5.412, 4.341]],
  "species": ["Br", "Br", "Br", "Br", "Mg", "Na", "Na"],
  "frac_coords": [[0.628, 0.266, 0.256], [0.893, 0.178, 0.785], [0.107, 0.822, 0.215], [0.372, 0.734, 0.744], [0.000, 0.000, 0.000], [0.290, 0.270, 0.580], [0.710, 0.730, 0.420]]
}

{
  "formula": "NaMgBr3",
  "functional": "GGA-PBE",
  "state": "relaxed",
  "total_energy_ev_per_cell": -30.16,
  "density_g_cm3": 2.210,
  "formation_energy_uncorrected_ev_per_atom": -1.43,
  "e_above_lowest_polymorph_ev_per_atom": 0.033,
  "space_group": "P-31m (162)",
  "lattice": [[-5.354, -4.545, -1.155], [4.558, 1.537, -5.246], [5.740, -7.474, 2.798]],
  "species": ["Mg", "Mg", "Br", "Br", "Br", "Br", "Br", "Br", "Na", "Na"],
  "frac_coords": [[0.667, 0.333, 0.500], [0.333, 0.667, 0.500], [0.617, 0.617, 0.340], [0.000, 0.617, 0.660], [0.383, 0.383, 0.660], [0.000, 0.383, 0.340], [0.617, 0.000, 0.660], [0.383, 0.000, 0.340], [0.000, 0.000, 0.709], [0.000, 0.000, 0.291]]
}